Compound: PuCd4Hg5
Source: Alexandria
Functional: PBE
Structure: optimized geometry

The value obtained for the spin magnetization is 5.95 μB/f.u. Its energy of formation is -2.75 kJ per mole of atoms.

The structure belongs to space group P4/mmm (No. 123); the cell edges are 3.3776, 3.3776 and 21.0619 Å and the angles 90.00°, 90.00° and 90.00°. Symmetry generates all atoms from Pu at (0.0000, 0.0000, 0.0000), Cd at (0.0000, 0.0000, 0.2028), Cd at (0.0000, 0.0000, 0.4000), Hg at (0.5000, 0.5000, 0.1057), Hg at (0.5000, 0.5000, 0.3025) and Hg at (0.5000, 0.5000, 0.5000).